No. 1
Entry from Alexandria via LeMat-Bulk: an optimized crystal structure of PdPbF4 (GGA-PBEsol).

Lattice parameters (Å, degrees): 5.875 5.875 6.770 115.71 115.71 90.00
Element x y z (fractional)
1 F 0.038 0.201 0.739
2 Pb 0.750 0.750 0.500
3 Pd 0.500 0.000 0.000
4 Pd 0.000 0.500 0.000
5 Pb 0.250 0.250 0.500
6 F 0.538 0.038 0.739
7 F 0.299 0.462 0.261
8 F 0.701 0.538 0.739
9 F 0.799 0.299 0.261
10 F 0.201 0.701 0.739
11 F 0.462 0.962 0.261
12 F 0.962 0.799 0.261

The formation energy from raw total energies comes out at -1.77 eV/atom. As for the total magnetic moment: 0.00 μB/f.u.

No. 2
Entry from Alexandria via LeMat-Bulk: an optimized crystal structure of PdPb2F6 (GGA-PBEsol).

Lattice parameters (Å, degrees): 5.880 5.893 8.815 109.53 90.00 90.00
Each line ends with the local moment (μB).
Element x y z (fractional)
1 F 0.665 0.750 0.170  0.00
2 F 0.750 0.010 0.500  0.00
3 Pb 0.000 0.662 0.324  0.00
4 F 0.750 0.510 0.500  0.00
5 F 0.835 0.080 0.830  0.00
6 F 0.165 0.920 0.170  0.00
7 F 0.665 0.580 0.830  0.00
8 F 0.250 0.490 0.500  0.00
9 Pd 0.000 0.000 0.000  0.05
10 F 0.335 0.250 0.830  0.00
11 F 0.165 0.750 0.830  0.00
12 F 0.835 0.250 0.170  0.00
13 F 0.250 0.990 0.500  0.00
14 Pb 0.000 0.338 0.676  0.00
15 F 0.335 0.420 0.170  0.00
16 Pb 0.500 0.162 0.324  0.00
17 Pd 0.500 0.500 0.000  0.05
18 Pb 0.500 0.838 0.676  0.00

The formation energy from raw total energies comes out at -1.97 eV/atom. As for the total magnetic moment: 0.06 μB/f.u.

No. 3
Entry from Alexandria via LeMat-Bulk: an optimized crystal structure of PtPb3F (GGA-PBEsol).

Lattice parameters (Å, degrees): 5.334 5.334 5.334 90.00 90.00 90.00
Element x y z (fractional)
1 F 0.500 0.500 0.500
2 Pb 0.000 0.500 0.000
3 Pt 0.000 0.000 0.000
4 Pb 0.500 0.000 0.000
5 Pb 0.000 0.000 0.500

The formation energy from raw total energies comes out at -0.05 eV/atom. As for the total magnetic moment: 0.00 μB/f.u.

- Which of these has the highest total magnetic moment?
  PdPb2F6

- The lowest formation energy from raw total energies belongs to which entry?
  PdPb2F6